(1)
Material: Li2P2S5
Method: DFT, PBE
State: relaxed

Cell lengths 4.802, 6.976, 5.916 Å; angles 97.68, 90.00, 110.13 degrees
Positions (direct):
S 0.141 0.283 0.541
S 0.000 0.000 0.000
S 0.859 0.717 0.459
S 0.327 0.653 0.014
S 0.673 0.347 0.986
Li 0.664 0.328 0.429
Li 0.336 0.672 0.571
P 0.159 0.318 0.891
P 0.841 0.682 0.109

Computed properties:
Space-group type: C2/m
Formation energy from raw total energies in eV per atom: -0.395

***

(2)
Material: NbAlIn2Os
Method: DFT, PBE
State: relaxed

Cell lengths 4.938, 4.452, 4.938 Å; angles 90.00, 90.00, 90.00 degrees
Positions (direct):
In 0.500 0.000 0.000
In 0.000 0.000 0.500
Nb 0.500 0.500 0.500
Al 0.000 0.000 0.000
Os 0.000 0.500 0.000

Computed properties:
DFT formation energy in eV per atom: 1.2806
Space-group type: P4/mmm

***

(3)
Material: K3CaP2HO8
Method: DFT, PBE
State: relaxed

Cell lengths 5.781, 5.781, 7.521 Å; angles 85.99, 85.99, 60.20 degrees
Positions (direct):
K 0.000 0.000 0.500
K 0.670 0.670 0.808
K 0.330 0.330 0.192
O 0.379 0.818 0.170
O 0.814 0.814 0.219
O 0.182 0.621 0.830
O 0.186 0.186 0.781
O 0.818 0.379 0.170
O 0.380 0.380 0.541
O 0.620 0.620 0.459
O 0.621 0.182 0.830
P 0.660 0.660 0.251
P 0.340 0.340 0.749
H 0.500 0.500 0.500
Ca 0.000 0.000 0.000

Computed properties:
Space-group type: C2/m

***

Ordered VASP energy results: -38.84; -24.12; -94.49; unit eV per cell.